one) DFT (PBE) results for BaCaAsBr2 after structural relaxation.

abc: 5.502 5.502 5.833
angles: 90.00 90.00 90.00
Last column: magnetic moment on the atom in μB.
Element x y z (fractional)
As (0.000, 0.000, 0.500)  0.35
Ca (0.000, 0.000, 0.000)  0.01
Ba (0.500, 0.500, 0.500)  0.01
Br (0.000, 0.500, 0.000)  0.03
Br (0.500, 0.000, 0.000)  0.03

Values from the calculation:
The value obtained for the density of states at the Fermi level is 4.2 states/eV per cell. Its crystal system is tetragonal.


two) DFT (PBE) results for BaCaAsBr2 after structural relaxation.

abc: 5.997 5.997 6.181
angles: 90.00 90.00 90.00
Last column: magnetic moment on the atom in μB.
Element x y z (fractional)
As (0.000, 0.000, 0.500)  0.22
Ca (0.500, 0.500, 0.500)  -0.01
Ba (0.000, 0.000, 0.000)  0.02
Br (0.000, 0.500, 0.000)  0.01
Br (0.500, 0.000, 0.000)  0.01

Values from the calculation:
The value obtained for the density of states at the Fermi level is 4.7 states/eV per cell. Its crystal system is tetragonal.


Verdict on stability: two) comes out at the bottom.